[1]
An optimized crystal structure of KBeIn2. Source: the Alexandria database, functional PBE.

Unit cell a=3.3866 b=3.3914 c=8.7027 alpha=90.00 beta=90.00 gamma=90.00
With the nearest neighbours (Å) after each atom.
Element x y z (fractional)
Be1 0.5000 0.5000 0.7500  8 In 2.86
K1 0.5000 0.5000 0.2500  4 K 3.39, 8 In 3.68
In1 0.0000 0.0000 0.9290  4 Be 2.86, 1 In 3.12
In2 0.0000 0.0000 0.5710  4 Be 2.86, 1 In 3.12

Properties
E_form, meV/atom: 261
SG: No. 123
Energy, eV/atom: -2.314

[2]
An optimized crystal structure of KBeIn. Source: the Alexandria database, functional PBE.

Unit cell a=4.2158 b=4.5889 c=11.5125 alpha=96.40 beta=90.20 gamma=113.95
With the nearest neighbours (Å) after each atom.
Element x y z (fractional)
Be1 0.2483 0.9970 0.9888  2 Be 2.12-2.13
Be2 0.7517 0.0030 0.0112  2 Be 2.12-2.13
K1 0.6292 0.2226 0.3146  3 In 3.54-3.59, 2 Be 3.62-3.93
K2 0.3708 0.7774 0.6854  3 In 3.54-3.59, 2 Be 3.62-3.93
In1 0.7347 0.4626 0.8965  4 Be 2.62-2.65
In2 0.2653 0.5374 0.1035  4 Be 2.62-2.65

Properties
Excess energy over the best structure of this formula in the dataset, meV per atom: 60
E_form, meV/atom: 207
SG: No. 2
Energy, eV/atom: -2.314

[3]
An optimized crystal structure of KBeIn. Source: the Alexandria database, functional PBE.

Unit cell a=5.3671 b=5.3671 c=5.3671 alpha=60.00 beta=60.00 gamma=60.00
With the nearest neighbours (Å) after each atom.
Element x y z (fractional)
Be1 0.0000 0.0000 0.0000  4 K 3.29
K1 0.7500 0.7500 0.7500  4 Be 3.29, 4 In 3.29
In1 0.5000 0.5000 0.5000  4 K 3.29

Properties
Excess energy over the best structure of this formula in the dataset, meV per atom: 1014
E_form, meV/atom: 1161
SG: No. 216
Energy, eV/atom: -1.360